Model a:
# GGA-PBE KTlCdHg2, optimized geometry
data_KTlCdHg2
_chemical_formula_sum 'K1 Tl1 Cd1 Hg2'
_cell_length_a 5.708
_cell_length_b 5.708
_cell_length_c 5.687
_cell_angle_alpha 90.00
_cell_angle_beta 90.00
_cell_angle_gamma 90.00
_space_group_name_H-M_alt 'P 4/m m m'
_space_group_IT_number 123
_space_group_name_Hall '-P 4 2'
loop_
_atom_site_label
_atom_site_fract_x
_atom_site_fract_y
_atom_site_fract_z
K1 0.000 0.000 0.000
Tl1 0.500 0.500 0.000
Cd1 0.500 0.500 0.500
Hg1 0.000 0.500 0.500
# total magnetic moment = 0.00 μB per atom

Model b:
# GGA-PBE KTlCdHg2, optimized geometry
data_KTlCdHg2
_chemical_formula_sum 'K2 Tl2 Cd2 Hg4'
_cell_length_a 4.887
_cell_length_b 4.887
_cell_length_c 13.416
_cell_angle_alpha 90.00
_cell_angle_beta 90.00
_cell_angle_gamma 90.00
_space_group_name_H-M_alt 'I -4 m 2'
_space_group_IT_number 119
_space_group_name_Hall 'I -4 -2'
loop_
_atom_site_label
_atom_site_fract_x
_atom_site_fract_y
_atom_site_fract_z
K1 0.000 0.000 0.000
Tl1 0.000 0.500 0.250
Cd1 0.000 0.500 0.750
Hg1 0.000 0.000 0.391
# total magnetic moment = 0.00 μB per atom

Relative energy of each structure, in meV per atom: model a 130; model b 0.

Model a:
# GGA-PBE La4CdHg, optimized geometry
data_La4CdHg
_chemical_formula_sum 'La16 Cd4 Hg4'
_cell_length_a 9.222
_cell_length_b 9.222
_cell_length_c 9.222
_cell_angle_alpha 90.00
_cell_angle_beta 90.00
_cell_angle_gamma 90.00
_space_group_name_H-M_alt 'F -4 3 m'
_space_group_IT_number 216
_space_group_name_Hall 'F -4 2 3'
loop_
_atom_site_label
_atom_site_fract_x
_atom_site_fract_y
_atom_site_fract_z
La1 0.125 0.125 0.125
Cd1 0.250 0.250 0.750
Hg1 0.000 0.000 0.500
# total magnetic moment = 0.02 μB per atom

Model b:
# GGA-PBE La4CdHg, optimized geometry
data_La4CdHg
_chemical_formula_sum 'La8 Cd2 Hg2'
_cell_length_a 7.625
_cell_length_b 7.625
_cell_length_c 7.576
_cell_angle_alpha 90.00
_cell_angle_beta 90.07
_cell_angle_gamma 90.00
_space_group_name_H-M_alt 'C 1 2/m 1'
_space_group_IT_number 12
_space_group_name_Hall '-C 2y'
loop_
_atom_site_label
_atom_site_fract_x
_atom_site_fract_y
_atom_site_fract_z
La1 0.250 0.250 0.247
Cd1 0.000 0.000 0.500
Hg1 0.000 0.500 0.000
# total magnetic moment = 0.10 μB per atom

Relative energy of each structure, in meV per atom: model a 225; model b 0.